Record 1
{"formula": "SrAcGaNi", "functional": "PBE", "state": "optimized geometry", "de_polymorph_ev_per_atom": 0.182, "formation_enthalpy_0k_ev_per_atom": -0.1463, "lattice_angstrom": [[5.363, 0.000, 0.000], [2.681, 4.644, 0.000], [2.681, 1.548, 4.379]], "species": ["Ga", "Sr", "Ni", "Ac"], "fractional_positions": [[0.750, 0.750, 0.750], [0.500, 0.500, 0.500], [0.250, 0.250, 0.250], [0.000, 0.000, 0.000]]}

Record 2
{"formula": "SrAcGaNi", "functional": "PBE", "state": "optimized geometry", "de_polymorph_ev_per_atom": 0.000, "formation_enthalpy_0k_ev_per_atom": -0.3288, "lattice_angstrom": [[-3.522, 2.174, 1.190], [0.188, -1.828, -3.895], [-0.862, -7.576, 3.524]], "species": ["Sr", "Ac", "Ga", "Ni"], "fractional_positions": [[0.345, 0.038, 0.383], [0.008, 0.868, 0.876], [0.508, 0.619, 0.127], [0.831, 0.280, 0.111]]}

Record 3
{"formula": "AcTmGa2Ni2", "functional": "PBE", "state": "optimized geometry", "formation_enthalpy_0k_ev_per_atom": -0.5567, "lattice_angstrom": [[4.383, 0.000, 0.000], [-2.192, 3.796, 0.000], [0.000, 0.000, 7.370]], "species": ["Ac", "Ni", "Ni", "Tm", "Ga", "Ga"], "fractional_positions": [[0.000, 0.000, 0.000], [0.333, 0.667, 0.696], [0.667, 0.333, 0.304], [0.000, 0.000, 0.500], [0.333, 0.667, 0.298], [0.667, 0.333, 0.702]]}